Here is crystalline SrBe4Si at its relaxed geometry from the Alexandria database. Energies are from PBE.

a b c (Å): 4.920 4.920 4.920
angles (deg): 60.00 60.00 60.00
Fractional positions:
Sr 0.000 0.000 0.000
Be 0.624 0.624 0.127
Be 0.624 0.127 0.624
Be 0.624 0.624 0.624
Be 0.127 0.624 0.624
Si 0.250 0.250 0.250

## Properties
Space group   F-43m (216)
E_form (uncorrected)   0.579 eV per atom
Total magnetization   0.0 μB per formula unit

Here is crystalline CsZn2SiRh at its relaxed geometry from the Alexandria database. Energies are from PBE.

a b c (Å): 5.095 4.599 5.095
angles (deg): 90.00 90.00 90.00
Fractional positions:
Cs 0.500 0.500 0.500
Zn 0.000 0.000 0.500
Zn 0.500 0.000 0.000
Rh 0.000 0.000 0.000
Si 0.000 0.500 0.000

## Properties
Space group   P4/mmm (123)
E_form (uncorrected)   -0.117 eV per atom
Distance to the lowest polymorph of the same formula   0.0 meV per atom
Total magnetization   0.0 μB per formula unit

Here is crystalline Pr8Er5Mg at its relaxed geometry from the Alexandria database. Energies are from PBE.

a b c (Å): 8.610 8.610 8.610
angles (deg): 110.59 107.25 110.59
Fractional positions:
Pr 0.159 0.724 0.069
Pr 0.931 0.090 0.655
Pr 0.745 0.265 0.348
Pr 0.652 0.397 0.917
Pr 0.521 0.603 0.255
Pr 0.565 0.910 0.841
Pr 0.345 0.276 0.435
Pr 0.083 0.735 0.479
Er 0.025 0.303 0.122
Er 0.878 0.903 0.181
Er 0.819 0.697 0.722
Er 0.500 0.000 0.500
Er 0.278 0.097 0.975
Mg 0.250 0.500 0.750

## Properties
Space group   I-4 (82)
Total magnetization   0.0 μB per formula unit
Energy relative to the elements   234 meV/atom

Here is crystalline LiBiAuO4 at its relaxed geometry from the Alexandria database. Energies are from PBE.

a b c (Å): 6.157 7.025 6.747
angles (deg): 118.70 90.00 115.99
Fractional positions:
Li 0.875 0.750 0.125
Li 0.125 0.250 0.875
Bi 0.500 0.000 0.500
Bi 0.500 0.000 0.000
Au 0.500 0.500 0.500
Au 0.000 0.500 0.500
O 0.720 0.440 0.668
O 0.240 0.939 0.220
O 0.699 0.939 0.220
O 0.720 0.440 0.272
O 0.280 0.560 0.728
O 0.760 0.061 0.780
O 0.301 0.061 0.780
O 0.280 0.560 0.332

## Properties
Space group   Imma (74)
E_form (uncorrected)   -0.804 eV per atom
Total magnetization   0.0 μB per formula unit